Record 1
First-principles (GGA-PBE) data for a relaxed Mg2Zn3Ga5 crystal, as listed in the Alexandria database.

Properties
The calculation puts the formation energy at -0.04 eV/atom.

a = 12.811 Å, b = 11.621 Å, c = 5.491 Å
α = 90.00°, β = 114.88°, γ = 90.00°
Space group C2/c (No. 15)
One atom of each set of equivalent atoms:
Mg1 0.128 0.247 0.127 x8
Zn1 0.000 0.499 0.250 x4
Zn2 0.125 0.145 0.625 x8
Ga1 0.000 0.001 0.250 x4
Ga2 0.120 0.354 0.620 x8
Ga3 0.250 0.001 0.000 x8

=====

Record 2
First-principles (GGA-PBE) data for a relaxed CrCd2InCl crystal, as listed in the Alexandria database.

Properties
The calculation puts the energy relative to the elements, uncorrected at 276 meV/atom.

a = 5.370 Å, b = 5.370 Å, c = 5.440 Å
α = 90.00°, β = 90.00°, γ = 90.00°
Space group P4/mmm (No. 123)
One atom of each set of equivalent atoms:
Cr1 0.000 0.000 0.000 x1
Cd1 0.000 0.500 0.000 x2
In1 0.000 0.000 0.500 x1
Cl1 0.500 0.500 0.500 x1

=====

Record 3
First-principles (GGA-PBE) data for a relaxed MgZrIrRu crystal, as listed in the Alexandria database.

Properties
The calculation puts the formation energy at -0.55 eV/atom.

a = 6.414 Å, b = 6.414 Å, c = 6.414 Å
α = 90.00°, β = 90.00°, γ = 90.00°
Space group F-43m (No. 216)
One atom of each set of equivalent atoms:
Mg1 0.000 0.000 0.000 x4
Zr1 0.000 0.000 0.500 x4
Ir1 0.250 0.250 0.250 x4
Ru1 0.250 0.250 0.750 x4

=====

Record 4
First-principles (GGA-PBE) data for a relaxed TbTmZr2N4 crystal, as listed in the Alexandria database.

Properties
The calculation puts the energy relative to the elements, uncorrected at -1743 meV/atom.

a = 5.772 Å, b = 3.334 Å, c = 5.826 Å
α = 90.00°, β = 109.30°, γ = 90.00°
Space group P2/m (No. 10)
One atom of each set of equivalent atoms:
Tb1 0.000 0.000 0.000 x1
Tm1 0.500 0.500 0.000 x1
Zr1 0.000 0.500 0.500 x1
Zr2 0.500 0.000 0.500 x1
N1 0.250 0.000 0.737 x2
N2 0.259 0.500 0.266 x2